# 1
Below is a relaxed structure of SiH2, with properties calculated at the PBE level.

```
data_SiH2
_chemical_formula_sum 'Si2 H4'
_symmetry_space_group_name_H-M 'P -1'
_symmetry_Int_Tables_number 2
_symmetry_space_group_name_Hall '-P 1'
_cell_length_a 2.620
_cell_length_b 4.550
_cell_length_c 6.382
_cell_angle_alpha 69.16
_cell_angle_beta 89.74
_cell_angle_gamma 88.36
loop_
_atom_site_label
_atom_site_type_symbol
_atom_site_fract_x
_atom_site_fract_y
_atom_site_fract_z
Si1 Si 0.001 0.218 0.065
H1 H 0.005 0.092 0.317
H2 H 0.427 0.572 0.501
```

Values from the calculation:
* raw total energy: -3.857 eV per atom
* N(E_F): 0.254 states/eV/f.u.
* E above lowest polymorph: 165 meV/atom
* calculated volume: 11.8 A^3/atom

=====

# 2
Below is a relaxed structure of SiH2, with properties calculated at the PBE level.

```
data_SiH2
_chemical_formula_sum 'Si2 H4'
_symmetry_space_group_name_H-M 'P -1'
_symmetry_Int_Tables_number 2
_symmetry_space_group_name_Hall '-P 1'
_cell_length_a 3.201
_cell_length_b 3.542
_cell_length_c 6.978
_cell_angle_alpha 104.25
_cell_angle_beta 102.90
_cell_angle_gamma 90.14
loop_
_atom_site_label
_atom_site_type_symbol
_atom_site_fract_x
_atom_site_fract_y
_atom_site_fract_z
Si1 Si 0.226 0.226 0.451
H1 H 0.115 0.115 0.223
H2 H 0.430 0.432 0.015
```

Values from the calculation:
* raw total energy: -3.928 eV per atom
* N(E_F): 0.190 states/eV/f.u.
* E above lowest polymorph: 93 meV/atom
* calculated volume: 12.4 A^3/atom

=====

- Among the records above, which one has the lowest E above lowest polymorph?
  number 2

=====

- Among the records above, which one has the highest calculated volume?
  number 2